# meta-GGA SCAN MgScP2, PBEsol geometry
data_MgScP2
_space_group_name_H-M_alt 'R -3 m'
_space_group_IT_number 166
_space_group_name_Hall '-R 3 2"'
_cell_length_a 3.7668
_cell_length_b 3.7668
_cell_length_c 18.0980
_cell_angle_alpha 90.00
_cell_angle_beta 90.00
_cell_angle_gamma 120.00
loop_
_atom_site_label
_atom_site_type_symbol
_atom_site_fract_x
_atom_site_fract_y
_atom_site_fract_z
Mg1 Mg 0.0000 0.0000 0.0000
Sc1 Sc 0.0000 0.0000 0.5000
P1 P 0.0000 0.0000 0.2473
# Spin magnetization, μB per cell: 0.0
# Formation energy from the elements, eV/atom: -0.953
# VASP energy, eV per formula unit: -43.82
# Calculated volume, Å³/atom: 18.53